DyYFe2Ge2B | GGA-PBE | optimized geometry

Unit cell a=5.761 b=5.761 c=6.892 alpha=126.59 beta=126.59 gamma=41.44
Fractional coordinates of all 7 atoms:
Dy: 0.000 0.000 0.000
Y: 0.884 0.884 0.356
Fe: 0.237 0.237 0.865
Fe: 0.647 0.647 0.492
Ge: 0.275 0.275 0.563
Ge: 0.609 0.609 0.794
B: 0.443 0.443 0.178

## Properties
Calculated total energy: -6.82 eV per atom
Space-group type: Cm, No. 8